(1)
# GGA-PBE Zr2ZnC, relaxed
# - DFT total energy (eV/atom) = -6.410
# - formation enthalpy at 0 K (eV per formula unit) = 2.0
data_Zr2ZnC
_cell_length_a 6.315
_cell_length_b 6.315
_cell_length_c 6.315
_cell_angle_alpha 90.00
_cell_angle_beta 90.00
_cell_angle_gamma 90.00
_symmetry_space_group_name_H-M 'F m -3 m'
_symmetry_Int_Tables_number 225
_symmetry_space_group_name_Hall '-F 4 2 3'
loop_
_atom_site_label
_atom_site_fract_x
_atom_site_fract_y
_atom_site_fract_z
_atom_site_occupancy
Zr1 0.250 0.250 0.250 1
Zn1 0.000 0.000 0.000 1
C1 0.000 0.000 0.500 1

(2)
# GGA-PBE KNaCa2Ni, relaxed
# - distance to the lowest polymorph of the same formula (eV per formula unit) = 0.00
# - DFT total energy (eV/atom) = -2.321
# - formation enthalpy at 0 K (eV per formula unit) = 0.6
data_KNaCa2Ni
_cell_length_a 5.493
_cell_length_b 5.493
_cell_length_c 6.093
_cell_angle_alpha 90.00
_cell_angle_beta 90.00
_cell_angle_gamma 90.00
_symmetry_space_group_name_H-M 'P 4/m m m'
_symmetry_Int_Tables_number 123
_symmetry_space_group_name_Hall '-P 4 2'
loop_
_atom_site_label
_atom_site_fract_x
_atom_site_fract_y
_atom_site_fract_z
_atom_site_occupancy
K1 0.000 0.000 0.000 1
Na1 0.500 0.500 0.000 1
Ca1 0.000 0.500 0.500 1
Ni1 0.500 0.500 0.500 1

(3)
# GGA-PBE NiAg2Rh, relaxed
# - distance to the lowest polymorph of the same formula (eV per formula unit) = 0.62
# - DFT total energy (eV/atom) = -4.404
# - formation enthalpy at 0 K (eV per formula unit) = 1.2
data_NiAg2Rh
_cell_length_a 2.823
_cell_length_b 4.612
_cell_length_c 9.408
_cell_angle_alpha 90.00
_cell_angle_beta 90.00
_cell_angle_gamma 90.00
_symmetry_space_group_name_H-M 'I m m m'
_symmetry_Int_Tables_number 71
_symmetry_space_group_name_Hall '-I 2 2'
loop_
_atom_site_label
_atom_site_fract_x
_atom_site_fract_y
_atom_site_fract_z
_atom_site_occupancy
Ni1 0.000 0.000 0.000 1
Ag1 0.000 0.500 0.263 1
Rh1 0.000 0.000 0.500 1

DFT total energy of number 1 (Zr2ZnC)?
-6.410 eV/atom

Among the records above, which one has the lowest DFT total energy?
Zr2ZnC